Density functional theory data (GGA-PBE) for an optimized crystal structure of In2PbSe3.

Results
Electronic total energy in eV per atom: -3.703

Cell: 6.9969 4.2935 12.7432 Å, 90.00 94.80 90.00°
With the nearest neighbours (Å) after each atom.
Positions (direct):
1 In 0.0429 0.2500 0.3635  3 Se 2.89-3.06
2 In 0.1068 0.2500 0.1091  4 Se 2.57-2.77
3 In 0.8932 0.7500 0.8909  4 Se 2.57-2.77
4 In 0.9571 0.7500 0.6365  3 Se 2.89-3.06
5 Pb 0.4286 0.2500 0.6578  3 Se 2.90-2.94
6 Pb 0.5714 0.7500 0.3422  3 Se 2.90-2.94
7 Se 0.1223 0.2500 0.8928  3 In 2.68-2.77
8 Se 0.2520 0.7500 0.4728  3 In 2.89-3.06, 1 Pb 2.90
9 Se 0.4532 0.2500 0.1936  1 In 2.57
10 Se 0.5468 0.7500 0.8064  1 In 2.57
11 Se 0.7480 0.2500 0.5272  3 In 2.89-3.06, 1 Pb 2.90
12 Se 0.8777 0.7500 0.1072  3 In 2.68-2.77


Density functional theory data (GGA-PBE) for an optimized crystal structure of Cs2TcOsCl6.

Results
Electronic total energy in eV per atom: -4.175

Cell: 7.2017 7.2017 7.2017 Å, 60.00 60.00 60.00°
With the nearest neighbours (Å) after each atom.
Positions (direct):
1 Cs 0.2500 0.2500 0.2500  12 Cl 3.60
2 Cs 0.7500 0.7500 0.7500  12 Cl 3.60
3 Tc 0.0000 0.0000 0.0000  6 Cl 2.65
4 Os 0.5000 0.5000 0.5000  6 Cl 2.44
5 Cl 0.2601 0.2601 0.7399  1 Os 2.44, 1 Tc 2.65
6 Cl 0.2601 0.7399 0.2601  1 Os 2.44, 1 Tc 2.65
7 Cl 0.2601 0.7399 0.7399  1 Os 2.44, 1 Tc 2.65
8 Cl 0.7399 0.2601 0.2601  1 Os 2.44, 1 Tc 2.65
9 Cl 0.7399 0.2601 0.7399  1 Os 2.44, 1 Tc 2.65
10 Cl 0.7399 0.7399 0.2601  1 Os 2.44, 1 Tc 2.65


Density functional theory data (GGA-PBE) for an optimized crystal structure of Li2NdSmS4.

Results
Electronic total energy in eV per atom: -5.519

Cell: 6.6284 4.0349 6.9867 Å, 90.00 110.53 90.00°
With the nearest neighbours (Å) after each atom.
Positions (direct):
1 Li 0.0000 0.0000 0.0000  6 S 2.76-2.77
2 Li 0.0000 0.5000 0.5000  6 S 2.79
3 Nd 0.5000 0.0000 0.5000  6 S 2.83
4 Sm 0.5000 0.5000 0.0000  6 S 2.80-2.81
5 S 0.2437 0.5000 0.2452  3 Li 2.77-2.79, 1 Sm 2.80, 2 Nd 2.83
6 S 0.2450 0.0000 0.7513  3 Li 2.76-2.79, 2 Sm 2.81, 1 Nd 2.83
7 S 0.7550 0.0000 0.2487  3 Li 2.76-2.79, 2 Sm 2.81, 1 Nd 2.83
8 S 0.7563 0.5000 0.7548  3 Li 2.77-2.79, 1 Sm 2.80, 2 Nd 2.83


Density functional theory data (GGA-PBE) for an optimized crystal structure of Na5Pt.

Results
DFT formation energy in eV/atom: -0.0208

Cell: 7.1711 7.1711 4.8364 Å, 90.00 90.00 140.27°
With the nearest neighbours (Å) after each atom.
Positions (direct):
1 Na 0.0000 0.0000 0.0000  8 Na 3.10-3.11, 4 Pt 3.43
2 Na 0.1445 0.8555 0.5000  6 Na 3.11-3.43, 2 Pt 3.12
3 Na 0.3585 0.6415 0.0000  2 Pt 3.08, 6 Na 3.10-3.43
4 Na 0.6415 0.3585 0.0000  2 Pt 3.08, 6 Na 3.10-3.43
5 Na 0.8555 0.1445 0.5000  6 Na 3.11-3.43, 2 Pt 3.12
6 Pt 0.5000 0.5000 0.5000  12 Na 3.08-3.43